Record 1
CsNaSn2: optimized geometry, PBE-GGA.

Unit cell a=8.286 b=8.286 c=8.286 alpha=90.00 beta=90.00 gamma=90.00
Fractional positions:
Cs1 0.000 0.000 0.000
Cs2 0.000 0.500 0.500
Cs3 0.500 0.000 0.500
Cs4 0.500 0.500 0.000
Na1 0.000 0.000 0.500
Na2 0.000 0.500 0.000
Na3 0.500 0.000 0.000
Na4 0.500 0.500 0.500
Sn1 0.250 0.250 0.250
Sn2 0.250 0.250 0.750
Sn3 0.250 0.750 0.250
Sn4 0.250 0.750 0.750
Sn5 0.750 0.250 0.250
Sn6 0.750 0.250 0.750
Sn7 0.750 0.750 0.250
Sn8 0.750 0.750 0.750

Output
E = -2.380 eV per atom
calculated formation energy = 0.1650 eV/atom
size of the total moment = 0.00 Bohr magnetons per cell

Record 2
CsNa6Sn2: optimized geometry, PBE-GGA.

Unit cell a=8.722 b=8.722 c=5.586 alpha=108.21 beta=108.21 gamma=53.15
Fractional positions:
Cs1 0.000 0.000 0.000
Na1 0.069 0.506 0.287
Na2 0.317 0.683 0.500
Na3 0.494 0.931 0.713
Na4 0.506 0.069 0.287
Na5 0.683 0.317 0.500
Na6 0.931 0.494 0.713
Sn1 0.390 0.390 0.891
Sn2 0.610 0.610 0.109

Output
E = -1.890 eV per atom
calculated formation energy = -0.0268 eV/atom
size of the total moment = 0.01 Bohr magnetons per cell